VASP calculation (PBE) on an optimized crystal structure of Hf4TlIr.

* space group: No. 119

Lattice parameters (Å, degrees): 5.513 5.513 8.829 90.00 90.00 90.00
Atoms (fractional coordinates):
Hf 0.000 0.000 0.174
Hf 0.000 0.000 0.826
Hf 0.000 0.500 0.556
Hf 0.000 0.500 0.944
Hf 0.500 0.000 0.056
Hf 0.500 0.000 0.444
Hf 0.500 0.500 0.326
Hf 0.500 0.500 0.674
Tl 0.000 0.000 0.500
Tl 0.500 0.500 0.000
Ir 0.000 0.500 0.250
Ir 0.500 0.000 0.750

VASP calculation (PBE) on an optimized crystal structure of Hf2TlIr.

* space group: No. 225

Lattice parameters (Å, degrees): 6.828 6.828 6.828 90.00 90.00 90.00
Atoms (fractional coordinates):
Hf 0.250 0.250 0.250
Hf 0.250 0.250 0.750
Hf 0.250 0.750 0.250
Hf 0.250 0.750 0.750
Hf 0.750 0.250 0.250
Hf 0.750 0.250 0.750
Hf 0.750 0.750 0.250
Hf 0.750 0.750 0.750
Tl 0.000 0.000 0.000
Tl 0.000 0.500 0.500
Tl 0.500 0.000 0.500
Tl 0.500 0.500 0.000
Ir 0.000 0.000 0.500
Ir 0.000 0.500 0.000
Ir 0.500 0.000 0.000
Ir 0.500 0.500 0.500

VASP calculation (PBE) on an optimized crystal structure of Hf6Tl2Ir.

* space group: No. 189

Lattice parameters (Å, degrees): 8.115 8.115 3.443 90.00 90.00 120.00
Atoms (fractional coordinates):
Hf 0.000 0.251 0.000
Hf 0.000 0.616 0.500
Hf 0.251 0.000 0.000
Hf 0.384 0.384 0.500
Hf 0.616 0.000 0.500
Hf 0.749 0.749 0.000
Tl 0.333 0.667 0.000
Tl 0.667 0.333 0.000
Ir 0.000 0.000 0.500

Number 1: formation energy 5.63 kcal/mol of atoms, magnetization 0.00 μB per formula unit. Number 2: formation energy -4.22 kcal/mol of atoms, magnetization 0.00 μB per formula unit. Number 3: formation energy -5.16 kcal/mol of atoms, magnetization 0.00 μB per formula unit.